An optimized crystal structure of ZrHgTe2, computed with PBE.

## Properties
D(E_F) = 0.2006 states/eV per atom
raw total energy = -17.68 eV for the cell shown
uncorrected formation energy = -0.64 eV/atom

abc: 11.355 11.355 11.355
angles: 20.11 20.11 20.11
Atoms (fractional coordinates):
1 Te 0.887 0.887 0.887
2 Te 0.113 0.113 0.113
3 Hg 0.000 0.000 0.000
4 Zr 0.500 0.500 0.500

=====

An optimized crystal structure of ZrHg2Te, computed with PBE.

## Properties
D(E_F) = 1.0536 states/eV per atom
raw total energy = -11.99 eV for the cell shown
uncorrected formation energy = 0.07 eV/atom

abc: 10.048 10.048 10.048
angles: 19.56 19.56 19.56
Atoms (fractional coordinates):
1 Hg 0.004 0.004 0.004
2 Hg 0.496 0.496 0.496
3 Te 0.250 0.250 0.250
4 Zr 0.750 0.750 0.750

=====

An optimized crystal structure of ZrHg2Te, computed with PBE.

## Properties
D(E_F) = 0.5598 states/eV per atom
raw total energy = -12.79 eV for the cell shown
uncorrected formation energy = -0.12 eV/atom

abc: 6.810 6.810 4.802
angles: 69.36 69.36 29.76
Atoms (fractional coordinates):
1 Hg 0.038 0.038 0.963
2 Hg 0.462 0.462 0.537
3 Te 0.250 0.250 0.250
4 Zr 0.750 0.750 0.750

=====

An optimized crystal structure of ZrHg2Te, computed with PBE.

## Properties
D(E_F) = 0.4007 states/eV per atom
raw total energy = -12.86 eV for the cell shown
uncorrected formation energy = -0.14 eV/atom

abc: 5.639 5.639 5.639
angles: 133.16 133.16 68.41
Atoms (fractional coordinates):
1 Hg 0.000 0.000 0.000
2 Hg 0.250 0.750 0.500
3 Te 0.500 0.500 0.000
4 Zr 0.750 0.250 0.500

=====

An optimized crystal structure of Zr2HgTe, computed with PBE.

## Properties
D(E_F) = 0.7955 states/eV per atom
raw total energy = -21.41 eV for the cell shown
uncorrected formation energy = -0.22 eV/atom

abc: 5.824 5.824 5.824
angles: 137.02 137.02 62.40
Atoms (fractional coordinates):
1 Hg 0.500 0.500 0.000
2 Te 0.750 0.250 0.500
3 Zr 0.000 0.000 0.000
4 Zr 0.250 0.750 0.500

=====

An optimized crystal structure of ZrHgTe2, computed with PBE.

## Properties
D(E_F) = 0.4875 states/eV per atom
raw total energy = -66.95 eV for the cell shown
uncorrected formation energy = -0.40 eV/atom

abc: 8.655 3.807 13.362
angles: 90.00 90.00 90.00
Atoms (fractional coordinates):
1 Te 0.657 0.250 0.511
2 Te 0.843 0.750 0.011
3 Te 0.343 0.750 0.489
4 Te 0.157 0.250 0.989
5 Te 0.308 0.250 0.742
6 Te 0.192 0.750 0.242
7 Te 0.692 0.750 0.258
8 Te 0.808 0.250 0.758
9 Hg 0.045 0.250 0.579
10 Hg 0.455 0.750 0.079
11 Hg 0.955 0.750 0.421
12 Hg 0.545 0.250 0.921
13 Zr 0.432 0.250 0.335
14 Zr 0.068 0.750 0.835
15 Zr 0.568 0.750 0.665
16 Zr 0.932 0.250 0.165